The following is a PBE calculation of Pa2HN4 after structural relaxation, from Alexandria.

Summary:
energy: -0.670 Ry/atom
calculated density: 8.6 g/cm³

Lattice parameters (Å, degrees): 12.954 3.730 9.493 90.00 118.98 90.00
Space group C2/m (No. 12)
Inequivalent atoms, fractional coordinates:
1 Pa 0.111 0.000 0.428 x4
2 Pa 0.182 0.500 0.809 x4
3 H 0.039 0.500 0.153 x4
4 N 0.026 0.500 0.252 x4
5 N 0.085 0.000 0.649 x4
6 N 0.212 0.500 0.064 x4
7 N 0.216 0.500 0.584 x4